NpNi2F11: relaxed, PBE with a Hubbard U.

Summary:
Final energy   -5.0825 eV per atom

Cell and atoms, written as POSCAR:
```
NpNi2F11
1.0
5.498 0.000 2.866
2.459 8.244 1.989
-1.072 -0.154 8.763
Np Ni F
2 4 22
direct
0.750 0.750 0.750
0.250 0.250 0.250
0.650 0.648 0.352
0.350 0.352 0.648
0.850 0.148 0.852
0.150 0.852 0.148
0.602 0.750 0.562
0.398 0.250 0.438
0.086 0.562 0.750
0.898 0.938 0.750
0.914 0.438 0.250
0.102 0.062 0.250
0.414 0.750 0.938
0.586 0.250 0.062
0.500 0.500 0.500
0.000 0.000 0.000
0.894 0.754 0.246
0.106 0.246 0.754
0.606 0.254 0.746
0.394 0.746 0.254
0.502 0.031 0.261
0.498 0.969 0.739
0.206 0.261 0.031
0.998 0.239 0.469
0.794 0.739 0.969
0.002 0.761 0.531
0.294 0.469 0.239
0.706 0.531 0.761
```